# 1
! BaInSi2 (PBE, optimized geometry); values from VASP
&SYSTEM
  ibrav = 0, nat = 4, ntyp = 3
/
ATOMIC_SPECIES
In 114.82 In.upf
Si 28.09 Si.upf
Ba 137.33 Ba.upf
ATOMIC_POSITIONS crystal
In 0.500 0.500 0.815
Si 0.000 0.000 0.050
Si 0.500 0.500 0.165
Ba 0.000 0.000 0.470
CELL_PARAMETERS angstrom
3.608 0.038 0.000
-0.036 3.608 0.000
0.000 0.000 7.633
! E_tot ... -3.8822 eV/atom
! Total magnetic moment ... 0.00 μB per formula unit
! Energy relative to the elements, uncorrected ... -0.005 eV per atom



# 2
! BaIn3Si (PBE, optimized geometry); values from VASP
&SYSTEM
  ibrav = 0, nat = 5, ntyp = 3
/
ATOMIC_SPECIES
Si 28.09 Si.upf
In 114.82 In.upf
Ba 137.33 Ba.upf
ATOMIC_POSITIONS crystal
Si 0.000 0.000 0.000
In 0.000 0.500 0.000
In 0.000 0.000 0.500
Ba 0.500 0.500 0.500
In 0.500 0.000 0.000
CELL_PARAMETERS angstrom
-4.202 0.524 3.408
-3.446 -0.489 -4.175
-0.095 -5.388 0.710
! E_tot ... -3.0758 eV/atom
! Total magnetic moment ... 0.00 μB per formula unit
! E above lowest polymorph ... 0.000 eV per atom
! Energy relative to the elements, uncorrected ... 0.036 eV per atom



# 3
! Ba6InSi2 (PBE, optimized geometry); values from VASP
&SYSTEM
  ibrav = 0, nat = 18, ntyp = 3
/
ATOMIC_SPECIES
Si 28.09 Si.upf
Ba 137.33 Ba.upf
In 114.82 In.upf
ATOMIC_POSITIONS crystal
Si 0.611 0.000 0.611
Si 0.500 0.603 0.103
Ba 0.304 0.983 0.679
Ba 0.895 0.713 0.182
In 0.000 0.000 0.000
Ba 0.696 0.376 0.679
Ba 0.105 0.287 0.818
Ba 0.207 0.772 0.979
In 0.000 0.500 0.500
Ba 0.207 0.228 0.435
Ba 0.696 0.017 0.321
Si 0.500 0.397 0.897
Ba 0.793 0.228 0.021
Ba 0.304 0.624 0.321
Ba 0.468 0.287 0.182
Si 0.389 0.000 0.389
Ba 0.532 0.713 0.818
Ba 0.793 0.772 0.565
CELL_PARAMETERS angstrom
-6.523 -7.466 1.370
7.714 -2.920 -5.668
3.746 2.938 8.803
! E_tot ... -3.0606 eV/atom
! Total magnetic moment ... 1.71 μB per formula unit
! Energy relative to the elements, uncorrected ... -0.269 eV per atom



# 4
! BaInSi3 (PBE, optimized geometry); values from VASP
&SYSTEM
  ibrav = 0, nat = 5, ntyp = 3
/
ATOMIC_SPECIES
Si 28.09 Si.upf
In 114.82 In.upf
Ba 137.33 Ba.upf
ATOMIC_POSITIONS crystal
Si 0.500 0.000 0.000
Si 0.000 0.500 0.000
Si 0.000 0.000 0.500
In 0.000 0.000 0.000
Ba 0.500 0.500 0.500
CELL_PARAMETERS angstrom
-4.807 -0.682 2.046
0.895 -5.178 0.376
1.962 0.691 4.840
! E_tot ... -3.5944 eV/atom
! Total magnetic moment ... 0.00 μB per formula unit
! E above lowest polymorph ... 0.000 eV per atom
! Energy relative to the elements, uncorrected ... 0.592 eV per atom



# 5
! Ba8In2Si (PBE, optimized geometry); values from VASP
&SYSTEM
  ibrav = 0, nat = 11, ntyp = 3
/
ATOMIC_SPECIES
Ba 137.33 Ba.upf
In 114.82 In.upf
Si 28.09 Si.upf
ATOMIC_POSITIONS crystal
Ba 0.208 0.300 0.417
Ba 0.792 0.700 0.583
Ba 0.657 0.950 0.314
Ba 0.594 0.421 0.189
Ba 0.406 0.579 0.811
In 0.818 0.298 0.636
Ba 0.343 0.050 0.686
Ba 0.975 0.201 0.949
In 0.182 0.702 0.364
Ba 0.025 0.799 0.051
Si 0.500 0.000 0.000
CELL_PARAMETERS angstrom
-3.067 -2.039 -4.741
5.048 4.170 -5.059
5.582 -8.651 3.910
! E_tot ... -2.6154 eV/atom
! Total magnetic moment ... 0.42 μB per formula unit
! Energy relative to the elements, uncorrected ... -0.226 eV per atom



# 6
! BaInSi2 (PBE, optimized geometry); values from VASP
&SYSTEM
  ibrav = 0, nat = 4, ntyp = 3
/
ATOMIC_SPECIES
Ba 137.33 Ba.upf
Si 28.09 Si.upf
In 114.82 In.upf
ATOMIC_POSITIONS crystal
Ba 0.750 0.750 0.750
Si 0.504 0.504 0.377
In 0.250 0.250 0.250
Si 0.996 0.996 0.123
CELL_PARAMETERS angstrom
-3.152 -1.855 3.702
0.357 -0.829 5.125
-2.586 4.880 2.859
! E_tot ... -3.9937 eV/atom
! Total magnetic moment ... 0.00 μB per formula unit
! Energy relative to the elements, uncorrected ... -0.117 eV per atom



# 7
! BaInSi3 (PBE, optimized geometry); values from VASP
&SYSTEM
  ibrav = 0, nat = 5, ntyp = 3
/
ATOMIC_SPECIES
In 114.82 In.upf
Si 28.09 Si.upf
Ba 137.33 Ba.upf
ATOMIC_POSITIONS crystal
In 0.500 0.500 0.500
Si 0.000 0.000 0.500
Si 0.500 0.000 0.000
Si 0.000 0.500 0.000
Ba 0.000 0.000 0.000
CELL_PARAMETERS angstrom
-4.826 -0.826 -2.961
2.292 -4.640 -2.441
-2.049 -3.245 4.244
! E_tot ... -2.6085 eV/atom
! Total magnetic moment ... 0.00 μB per formula unit
! E above lowest polymorph ... 0.986 eV per atom
! Energy relative to the elements, uncorrected ... 1.578 eV per atom



# 8
! BaInSi2 (PBE, optimized geometry); values from VASP
&SYSTEM
  ibrav = 0, nat = 4, ntyp = 3
/
ATOMIC_SPECIES
Si 28.09 Si.upf
Ba 137.33 Ba.upf
In 114.82 In.upf
ATOMIC_POSITIONS crystal
Si 0.955 0.955 0.955
Ba 0.750 0.750 0.750
In 0.250 0.250 0.250
Si 0.545 0.545 0.545
CELL_PARAMETERS angstrom
6.359 -0.007 -0.004
4.631 4.357 -0.004
4.631 1.833 3.952
! E_tot ... -3.8809 eV/atom
! Total magnetic moment ... 0.00 μB per formula unit
! Energy relative to the elements, uncorrected ... -0.004 eV per atom



# 9
! BaInSi2 (PBE, optimized geometry); values from VASP
&SYSTEM
  ibrav = 0, nat = 4, ntyp = 3
/
ATOMIC_SPECIES
In 114.82 In.upf
Si 28.09 Si.upf
Ba 137.33 Ba.upf
ATOMIC_POSITIONS crystal
In 0.750 0.250 0.500
Si 0.000 0.000 0.000
Si 0.250 0.750 0.500
Ba 0.500 0.500 0.000
CELL_PARAMETERS angstrom
-2.514 -1.850 -4.970
-1.923 -5.531 0.390
-0.674 4.771 3.351
! E_tot ... -3.6051 eV/atom
! Total magnetic moment ... 0.00 μB per formula unit
! Energy relative to the elements, uncorrected ... 0.272 eV per atom



# 10
! BaInSi2 (PBE, optimized geometry); values from VASP
&SYSTEM
  ibrav = 0, nat = 4, ntyp = 3
/
ATOMIC_SPECIES
In 114.82 In.upf
Ba 137.33 Ba.upf
Si 28.09 Si.upf
ATOMIC_POSITIONS crystal
In 0.500 0.744 0.871
Ba 0.000 0.478 0.451
Si 0.500 0.085 0.200
Si 0.000 0.194 0.978
CELL_PARAMETERS angstrom
3.926 0.000 0.000
0.000 4.368 -0.002
0.000 1.909 6.441
! E_tot ... -4.0230 eV/atom
! Total magnetic moment ... 0.00 μB per formula unit
! Energy relative to the elements, uncorrected ... -0.146 eV per atom



# 11
! BaIn2Si (PBE, optimized geometry); values from VASP
&SYSTEM
  ibrav = 0, nat = 4, ntyp = 3
/
ATOMIC_SPECIES
In 114.82 In.upf
Ba 137.33 Ba.upf
Si 28.09 Si.upf
ATOMIC_POSITIONS crystal
In 0.546 0.546 0.000
Ba 0.250 0.750 0.500
In 0.954 0.954 0.000
Si 0.750 0.250 0.500
CELL_PARAMETERS angstrom
6.544 -0.006 0.044
2.878 5.878 -0.044
-3.868 -4.290 3.078
! E_tot ... -3.2741 eV/atom
! Total magnetic moment ... 0.00 μB per formula unit
! Energy relative to the elements, uncorrected ... -0.068 eV per atom



# 12
! Ba3InSi2 (PBE, optimized geometry); values from VASP
&SYSTEM
  ibrav = 0, nat = 24, ntyp = 3
/
ATOMIC_SPECIES
Ba 137.33 Ba.upf
Si 28.09 Si.upf
In 114.82 In.upf
ATOMIC_POSITIONS crystal
Ba 0.917 0.939 0.635
Si 0.829 0.829 0.881
In 0.023 0.385 0.117
Ba 0.915 0.700 0.181
Si 0.197 0.608 0.778
Si 0.303 0.108 0.722
Si 0.803 0.392 0.222
Ba 0.417 0.561 0.135
Ba 0.276 0.916 0.008
Ba 0.224 0.416 0.492
Si 0.329 0.671 0.381
In 0.977 0.615 0.883
Si 0.697 0.892 0.278
Ba 0.083 0.061 0.365
Si 0.671 0.329 0.619
Ba 0.585 0.200 0.319
Si 0.171 0.171 0.119
In 0.477 0.885 0.383
In 0.523 0.115 0.617
Ba 0.724 0.084 0.992
Ba 0.583 0.439 0.865
Ba 0.776 0.584 0.508
Ba 0.085 0.300 0.819
Ba 0.415 0.800 0.681
CELL_PARAMETERS angstrom
-7.166 4.415 -2.194
-4.718 -8.914 -2.527
0.758 -3.390 10.542
! E_tot ... -3.4963 eV/atom
! Total magnetic moment ... 0.00 μB per formula unit
! Energy relative to the elements, uncorrected ... -0.271 eV per atom



# 13
! BaInSi2 (PBE, optimized geometry); values from VASP
&SYSTEM
  ibrav = 0, nat = 4, ntyp = 3
/
ATOMIC_SPECIES
Si 28.09 Si.upf
Ba 137.33 Ba.upf
In 114.82 In.upf
ATOMIC_POSITIONS crystal
Si 0.000 0.000 0.579
Si 0.000 0.000 0.921
Ba 0.500 0.500 0.250
In 0.500 0.500 0.750
CELL_PARAMETERS angstrom
3.853 0.000 0.000
0.000 3.854 0.000
0.000 0.000 6.963
! E_tot ... -3.8982 eV/atom
! Total magnetic moment ... 0.00 μB per formula unit
! Energy relative to the elements, uncorrected ... -0.021 eV per atom



# 14
! BaIn3Si (PBE, optimized geometry); values from VASP
&SYSTEM
  ibrav = 0, nat = 5, ntyp = 3
/
ATOMIC_SPECIES
Si 28.09 Si.upf
In 114.82 In.upf
Ba 137.33 Ba.upf
ATOMIC_POSITIONS crystal
Si 0.500 0.500 0.500
In 0.000 0.500 0.000
Ba 0.000 0.000 0.000
In 0.000 0.000 0.500
In 0.500 0.000 0.000
CELL_PARAMETERS angstrom
6.230 0.000 0.000
0.000 6.230 0.000
0.000 0.000 6.230
! E_tot ... -1.8499 eV/atom
! Total magnetic moment ... 0.00 μB per formula unit
! E above lowest polymorph ... 1.226 eV per atom
! Energy relative to the elements, uncorrected ... 1.262 eV per atom